Below is crystalline Ca2USb3Rh4 at its relaxed geometry, with properties calculated at the PBE level.

```
10
Lattice="-4.4357 0.1706 0.2277 -0.2639 -3.7956 -2.2979 0.2693 -5.8454 9.6245" Properties=species:S:1:pos:R:3 pbc="T T T"
Ca -2.1571 -1.2337 2.2856
Ca 0.0766 -6.4242 6.3038
U -2.2152 -4.7352 3.7772
Sb 0.1347 -2.9227 4.8122
Sb -1.9837 -4.9968 8.4815
Sb -0.0968 -2.6611 0.1079
Rh -2.3498 -1.8125 -1.0351
Rh 0.0000 0.0000 0.0000
Rh -2.0458 -3.6490 6.2624
Rh -0.0347 -4.0089 2.3270
```

Calculated values
space group	P-4m2, No. 115
formation energy (no corrections)	-644	meV per atom
total energy	-63.5	eV/cell

***

Below is crystalline CaV2SbRh at its relaxed geometry, with properties calculated at the PBE level.

```
5
Lattice="4.3624 0.0000 0.0000 0.0000 4.3624 0.0000 0.0000 0.0000 5.2992" Properties=species:S:1:pos:R:3 pbc="T T T"
Sb 0.0000 0.0000 2.6496
Ca 0.0000 0.0000 0.0000
Rh 2.1812 2.1812 2.6496
V 0.0000 2.1812 0.0000
V 2.1812 0.0000 0.0000
```

Calculated values
space group	P4/mmm, No. 123
formation energy (no corrections)	1945	meV per atom
total energy	-22.0	eV/cell

***

Below is crystalline Ca2Zn2SbRh5 at its relaxed geometry, with properties calculated at the PBE level.

```
20
Lattice="3.3766 0.0000 0.0000 0.0000 10.1521 0.0000 0.0000 0.0000 10.1521" Properties=species:S:1:pos:R:3 pbc="T T T"
Ca 0.0000 6.8281 1.7520
Ca 0.0000 3.3241 8.4001
Ca 0.0000 1.7520 3.3241
Ca 0.0000 8.4001 6.8281
Zn 0.0000 1.2992 6.3753
Zn 0.0000 8.8529 3.7769
Zn 0.0000 6.3753 8.8529
Zn 0.0000 3.7769 1.2992
Sb 0.0000 0.0000 0.0000
Sb 0.0000 5.0761 5.0761
Rh 1.6883 2.0244 0.6178
Rh 1.6883 8.1277 9.5343
Rh 1.6883 0.6178 8.1277
Rh 1.6883 7.1005 4.4582
Rh 1.6883 9.5343 2.0244
Rh 1.6883 3.0516 5.6939
Rh 1.6883 5.6939 7.1005
Rh 1.6883 4.4582 3.0516
Rh 1.6883 5.0761 0.0000
Rh 1.6883 0.0000 5.0761
```

Calculated values
space group	P4/mbm, No. 127
formation energy (no corrections)	-452	meV per atom
total energy	-103.9	eV/cell

***

Copy entry 2 word for word.
Below is crystalline CaV2SbRh at its relaxed geometry, with properties calculated at the PBE level.

```
5
Lattice="4.3624 0.0000 0.0000 0.0000 4.3624 0.0000 0.0000 0.0000 5.2992" Properties=species:S:1:pos:R:3 pbc="T T T"
Sb 0.0000 0.0000 2.6496
Ca 0.0000 0.0000 0.0000
Rh 2.1812 2.1812 2.6496
V 0.0000 2.1812 0.0000
V 2.1812 0.0000 0.0000
```

Calculated values
space group	P4/mmm, No. 123
formation energy (no corrections)	1945	meV per atom
total energy	-22.0	eV/cell

***

Q: Look up the total energy of the first one.
A: -63.5 eV/cell